[1]
Li2Cd2Ga2NiIr: optimized geometry, GGA-PBE. Values from VASP.

Geometry as Quantum ESPRESSO input:
```
&SYSTEM
  ibrav = 0, nat = 8, ntyp = 5
/
ATOMIC_SPECIES
Li 6.94 Li.upf
Cd 112.41 Cd.upf
Ga 69.72 Ga.upf
Ni 58.69 Ni.upf
Ir 192.22 Ir.upf
CELL_PARAMETERS angstrom
4.392 0.000 0.000
0.000 4.392 0.000
0.000 0.000 6.173
ATOMIC_POSITIONS crystal
Li 0.000 0.000 0.000
Li 0.500 0.500 0.500
Cd 0.000 0.500 0.233
Cd 0.500 0.000 0.767
Ga 0.000 0.500 0.746
Ga 0.500 0.000 0.254
Ni 0.500 0.500 0.000
Ir 0.000 0.000 0.500
```


[2]
RbCoPSe4: optimized geometry, GGA-PBE. Values from VASP.

Geometry as Quantum ESPRESSO input:
```
&SYSTEM
  ibrav = 0, nat = 14, ntyp = 4
/
ATOMIC_SPECIES
Rb 85.47 Rb.upf
Co 58.93 Co.upf
P 30.97 P.upf
Se 78.96 Se.upf
CELL_PARAMETERS angstrom
-4.222 4.222 6.411
4.222 -4.222 6.411
4.222 4.222 -6.411
ATOMIC_POSITIONS crystal
Rb 0.250 0.250 0.000
Rb 0.750 0.750 0.000
Co 0.000 0.500 0.500
Co 0.500 0.000 0.500
P 0.250 0.750 0.500
P 0.750 0.250 0.500
Se 0.007 0.507 0.775
Se 0.233 0.007 0.500
Se 0.267 0.767 0.775
Se 0.493 0.267 0.500
Se 0.507 0.733 0.500
Se 0.733 0.233 0.225
Se 0.767 0.993 0.500
Se 0.993 0.493 0.225
```


[3]
ZrTc: optimized geometry, GGA-PBE. Values from VASP.

Geometry as Quantum ESPRESSO input:
```
&SYSTEM
  ibrav = 0, nat = 12, ntyp = 2
/
ATOMIC_SPECIES
Zr 91.22 Zr.upf
Tc 98.00 Tc.upf
CELL_PARAMETERS angstrom
6.526 0.000 0.000
0.000 4.793 0.000
-1.664 0.000 6.870
ATOMIC_POSITIONS crystal
Zr 0.036 0.250 0.177
Zr 0.301 0.750 0.205
Zr 0.448 0.750 0.825
Zr 0.552 0.250 0.175
Zr 0.699 0.250 0.795
Zr 0.964 0.750 0.823
Tc 0.120 0.750 0.498
Tc 0.205 0.250 0.819
Tc 0.370 0.250 0.503
Tc 0.630 0.750 0.497
Tc 0.795 0.750 0.181
Tc 0.880 0.250 0.502
```


[4]
InCuTcSe2S: optimized geometry, GGA-PBE. Values from VASP.

Geometry as Quantum ESPRESSO input:
```
&SYSTEM
  ibrav = 0, nat = 12, ntyp = 5
/
ATOMIC_SPECIES
In 114.82 In.upf
Cu 63.55 Cu.upf
Tc 98.00 Tc.upf
Se 78.96 Se.upf
S 32.06 S.upf
CELL_PARAMETERS angstrom
1.780 -6.976 0.000
1.780 6.976 0.000
0.000 0.000 9.238
ATOMIC_POSITIONS crystal
In 0.238 0.762 0.750
In 0.762 0.238 0.250
Cu 0.030 0.970 0.250
Cu 0.970 0.030 0.750
Tc 0.500 0.500 0.000
Tc 0.500 0.500 0.500
Se 0.134 0.866 0.044
Se 0.134 0.866 0.456
Se 0.866 0.134 0.544
Se 0.866 0.134 0.956
S 0.431 0.569 0.250
S 0.569 0.431 0.750
```


| no. | electronic total energy (eV/atom) |
| --- | --- |
| 1 | -3.529 |
| 2 | -4.317 |
| 3 | -9.569 |
| 4 | -4.847 |